(1)
# Ce3Th4ScP8

Ce3Th4ScP8 after structural relaxation (GGA-PBE, Alexandria).

Cell: 8.1752 8.1752 19.9425 Å, 90.00 90.00 120.00°
Space group R-3m (No. 166, hexagonal axes)
Unique sites:
1 Ce 0.0000 0.5000 0.0000 x9
2 Th 0.0000 0.0000 0.5000 x3
3 Th 0.0000 0.5000 0.5000 x9
4 Sc 0.0000 0.0000 0.0000 x3
5 P 0.0000 0.0000 0.2515 x6
6 P 0.0071 0.5036 0.7467 x18

## Properties
The energy relative to the elements is -1.5139 eV/atom. For the raw total energy, the calculation gives -7.5821 eV/atom. The calculation puts the theoretical density at 7.1 g/cm3. The value obtained for the density of states at the Fermi level is 0.967 states/eV per atom. The calculation puts the magnetic moment at 0.54 μB per formula unit.

=====

(2)
# Ce3Th2ScP6

Ce3Th2ScP6 after structural relaxation (GGA-PBE, Alexandria).

Cell: 17.714 4.073 8.129 Å, 90.00 103.41 90.00°
Space group C2/m (No. 12)
Unique sites:
1 Ce 0.000 0.000 0.000 x2
2 Ce 0.167 0.500 0.335 x4
3 Th 0.164 0.500 0.829 x4
4 Sc 0.000 0.000 0.500 x2
5 P 0.002 0.500 0.264 x4
6 P 0.161 0.000 0.576 x4
7 P 0.166 0.000 0.085 x4

## Properties
The energy relative to the elements is -1.5005 eV/atom. For the raw total energy, the calculation gives -7.4531 eV/atom. The calculation puts the theoretical density at 6.5 g/cm3. The value obtained for the density of states at the Fermi level is 1.199 states/eV per atom. The calculation puts the magnetic moment at 1.28 μB per formula unit.

=====

(3)
# CeTm2ScP4

CeTm2ScP4 after structural relaxation (GGA-PBE, Alexandria).

Cell: 6.799 3.943 6.820 Å, 90.00 109.40 90.00°
Space group P2/m (No. 10)
Unique sites:
1 Ce 0.000 0.000 0.000 x1
2 Tm 0.000 0.500 0.500 x1
3 Tm 0.500 0.000 0.500 x1
4 Sc 0.500 0.500 0.000 x1
5 P 0.258 0.500 0.251 x2
6 P 0.259 0.000 0.756 x2

## Properties
The energy relative to the elements is -1.5299 eV/atom. For the raw total energy, the calculation gives -6.8859 eV/atom. The calculation puts the theoretical density at 6.2 g/cm3. The value obtained for the density of states at the Fermi level is 0.558 states/eV per atom. The calculation puts the magnetic moment at 0.29 μB per formula unit.

=====

(4)
# Ce2TmSc3P6

Ce2TmSc3P6 after structural relaxation (GGA-PBE, Alexandria).

Cell: 6.768 11.722 6.720 Å, 90.00 109.62 90.00°
Space group C2/m (No. 12)
Unique sites:
1 Ce 0.000 0.166 0.000 x4
2 Tm 0.000 0.500 0.000 x2
3 Sc 0.000 0.000 0.500 x2
4 Sc 0.000 0.333 0.500 x4
5 P 0.241 0.500 0.733 x4
6 P 0.246 0.165 0.735 x8

## Properties
The energy relative to the elements is -1.5001 eV/atom. For the raw total energy, the calculation gives -7.1495 eV/atom. The calculation puts the theoretical density at 5.1 g/cm3. The value obtained for the density of states at the Fermi level is 0.723 states/eV per atom. The calculation puts the magnetic moment at 0.57 μB per formula unit.

=====

(5)
# CeSc2UP4

CeSc2UP4 after structural relaxation (GGA-PBE, Alexandria).

Cell: 6.711 3.889 6.754 Å, 90.00 109.51 90.00°
Space group P2/m (No. 10)
Unique sites:
1 Ce 0.000 0.000 0.000 x1
2 Sc 0.500 0.000 0.500 x1
3 Sc 0.500 0.500 0.000 x1
4 U 0.000 0.500 0.500 x1
5 P 0.263 0.000 0.749 x2
6 P 0.266 0.500 0.261 x2

## Properties
The energy relative to the elements is -1.3472 eV/atom. For the raw total energy, the calculation gives -7.7877 eV/atom. The calculation puts the theoretical density at 5.9 g/cm3. The value obtained for the density of states at the Fermi level is 1.299 states/eV per atom. The calculation puts the magnetic moment at 2.73 μB per formula unit.

=====

(6)
# Ce2ScUP4

Ce2ScUP4 after structural relaxation (GGA-PBE, Alexandria).

Cell: 6.863 3.971 6.891 Å, 90.00 109.35 90.00°
Space group P2/m (No. 10)
Unique sites:
1 Ce 0.000 0.000 0.000 x1
2 Ce 0.500 0.500 0.000 x1
3 Sc 0.000 0.500 0.500 x1
4 U 0.500 0.000 0.500 x1
5 P 0.241 0.000 0.732 x2
6 P 0.250 0.500 0.266 x2

## Properties
The energy relative to the elements is -1.3462 eV/atom. For the raw total energy, the calculation gives -7.7371 eV/atom. The calculation puts the theoretical density at 6.4 g/cm3. The value obtained for the density of states at the Fermi level is 1.698 states/eV per atom. The calculation puts the magnetic moment at 3.35 μB per formula unit.

=====

(7)
# Ce2YScP4

Ce2YScP4 after structural relaxation (GGA-PBE, Alexandria).

Cell: 6.885 3.999 6.922 Å, 90.00 109.59 90.00°
Space group P2/m (No. 10)
Unique sites:
1 Ce 0.000 0.000 0.000 x1
2 Ce 0.000 0.500 0.500 x1
3 Y 0.500 0.000 0.500 x1
4 Sc 0.500 0.500 0.000 x1
5 P 0.258 0.500 0.245 x2
6 P 0.263 0.000 0.762 x2

## Properties
The energy relative to the elements is -1.5110 eV/atom. For the raw total energy, the calculation gives -7.2989 eV/atom. The calculation puts the theoretical density at 5.0 g/cm3. The value obtained for the density of states at the Fermi level is 1.092 states/eV per atom. The calculation puts the magnetic moment at 0.96 μB per formula unit.

=====

(8)
# CeY2ScP4

CeY2ScP4 after structural relaxation (GGA-PBE, Alexandria).

Cell: 6.854 3.977 6.880 Å, 90.00 109.39 90.00°
Space group P2/m (No. 10)
Unique sites:
1 Ce 0.000 0.000 0.000 x1
2 Y 0.000 0.500 0.500 x1
3 Y 0.500 0.000 0.500 x1
4 Sc 0.500 0.500 0.000 x1
5 P 0.256 0.500 0.246 x2
6 P 0.260 0.000 0.760 x2

## Properties
The energy relative to the elements is -1.5408 eV/atom. For the raw total energy, the calculation gives -7.3949 eV/atom. The calculation puts the theoretical density at 4.6 g/cm3. The value obtained for the density of states at the Fermi level is 0.599 states/eV per atom. The calculation puts the magnetic moment at 0.30 μB per formula unit.

=====

(9)
# CeYSc2P4

CeYSc2P4 after structural relaxation (GGA-PBE, Alexandria).

Cell: 6.730 3.913 6.773 Å, 90.00 109.52 90.00°
Space group P2/m (No. 10)
Unique sites:
1 Ce 0.000 0.000 0.000 x1
2 Y 0.000 0.500 0.500 x1
3 Sc 0.500 0.000 0.500 x1
4 Sc 0.500 0.500 0.000 x1
5 P 0.266 0.000 0.755 x2
6 P 0.268 0.500 0.257 x2

## Properties
The energy relative to the elements is -1.5135 eV/atom. For the raw total energy, the calculation gives -7.3511 eV/atom. The calculation puts the theoretical density at 4.4 g/cm3. The value obtained for the density of states at the Fermi level is 0.572 states/eV per atom. The calculation puts the magnetic moment at 0.32 μB per formula unit.

=====

(10)
# CeZrSc2P4

CeZrSc2P4 after structural relaxation (GGA-PBE, Alexandria).

Cell: 5.436 5.436 10.842 Å, 90.00 90.00 90.00°
Space group I4/mmm (No. 139)
Unique sites:
1 Ce 0.000 0.000 0.000 x2
2 Zr 0.000 0.000 0.500 x2
3 Sc 0.000 0.500 0.250 x4
4 P 0.000 0.000 0.255 x4
5 P 0.000 0.500 0.000 x4

## Properties
The energy relative to the elements is -1.4368 eV/atom. For the raw total energy, the calculation gives -7.5349 eV/atom. The calculation puts the theoretical density at 4.6 g/cm3. The value obtained for the density of states at the Fermi level is 0.406 states/eV per atom. The calculation puts the magnetic moment at 0.00 μB per formula unit.

=====

(11)
# Ce2ZrScP4

Ce2ZrScP4 after structural relaxation (GGA-PBE, Alexandria).

Cell: 6.765 3.909 6.778 Å, 90.00 109.47 90.00°
Space group P2/m (No. 10)
Unique sites:
1 Ce 0.000 0.000 0.000 x1
2 Ce 0.000 0.500 0.500 x1
3 Zr 0.500 0.000 0.500 x1
4 Sc 0.500 0.500 0.000 x1
5 P 0.269 0.500 0.256 x2
6 P 0.270 0.000 0.757 x2

## Properties
The energy relative to the elements is -1.4775 eV/atom. For the raw total energy, the calculation gives -7.5258 eV/atom. The calculation puts the theoretical density at 5.3 g/cm3. The value obtained for the density of states at the Fermi level is 0.995 states/eV per atom. The calculation puts the magnetic moment at 0.33 μB per formula unit.

=====

(12)
# Ce2PSe

Ce2PSe after structural relaxation (GGA-PBE, Alexandria).

Cell: 4.1381 4.1381 20.4764 Å, 90.00 90.00 120.00°
Space group R-3m (No. 166, hexagonal axes)
Unique sites:
1 Ce 0.0000 0.0000 0.2448 x6
2 P 0.0000 0.0000 0.5000 x3
3 Se 0.0000 0.0000 0.0000 x3

## Properties
For the raw total energy, the calculation gives -6.8863 eV/atom. The calculation puts the theoretical density at 6.4 g/cm3. The value obtained for the density of states at the Fermi level is 2.632 states/eV per atom. The uncorrected formation energy comes out at -1696 meV per atom. The calculation puts the magnetic moment at 1.57 μB per formula unit.

=====

(13)
# CePSe6

CePSe6 after structural relaxation (GGA-PBE, Alexandria).

Cell: 7.470 9.421 6.447 Å, 90.00 114.84 90.00°
Space group C2/m (No. 12)
Unique sites:
1 Ce 0.000 0.000 0.000 x2
2 P 0.000 0.000 0.500 x2
3 Se 0.188 0.500 0.531 x4
4 Se 0.236 0.324 0.144 x8

## Properties
For the raw total energy, the calculation gives -4.3715 eV/atom. The calculation puts the theoretical density at 5.2 g/cm3. The value obtained for the density of states at the Fermi level is 0.554 states/eV per atom. The uncorrected formation energy comes out at -340 meV per atom. The calculation puts the magnetic moment at 0.00 μB per formula unit.

=====

(14)
# Ce2PSe

Ce2PSe after structural relaxation (GGA-PBE, Alexandria).

Cell: 5.864 5.864 11.751 Å, 90.00 90.00 90.00°
Space group I4_1/amd (No. 141, origin choice 2)
Unique sites:
1 Ce 0.000 0.250 0.119 x8
2 P 0.000 0.250 0.875 x4
3 Se 0.000 0.250 0.375 x4

## Properties
For the raw total energy, the calculation gives -6.8770 eV/atom. The calculation puts the theoretical density at 6.4 g/cm3. The value obtained for the density of states at the Fermi level is 2.646 states/eV per atom. The uncorrected formation energy comes out at -1686 meV per atom. The calculation puts the magnetic moment at 1.59 μB per formula unit.

=====

(15)
# Ce3PSe6

Ce3PSe6 after structural relaxation (GGA-PBE, Alexandria).

Cell: 10.884 14.425 7.115 Å, 90.00 90.00 90.00°
Space group Cmc2_1 (No. 36)
Unique sites:
1 Ce 0.000 0.101 0.000 x4
2 Ce 0.167 0.396 0.075 x8
3 P 0.000 0.313 0.729 x4
4 Se 0.000 0.260 0.241 x4
5 Se 0.000 0.471 0.390 x4
6 Se 0.170 0.025 0.282 x8
7 Se 0.175 0.232 0.817 x8

## Properties
For the raw total energy, the calculation gives -5.7280 eV/atom. The calculation puts the theoretical density at 5.5 g/cm3. The value obtained for the density of states at the Fermi level is 1.199 states/eV per atom. The uncorrected formation energy comes out at -1316 meV per atom. The calculation puts the magnetic moment at 1.18 μB per formula unit.

=====

(16)
# CePSe4

CePSe4 after structural relaxation (GGA-PBE, Alexandria).

Cell: 7.363 7.363 5.795 Å, 90.00 90.00 90.00°
Space group I-4m2 (No. 119)
Unique sites:
1 Ce 0.000 0.000 0.000 x2
2 P 0.000 0.500 0.250 x2
3 Se 0.241 0.259 0.250 x8

## Properties
For the raw total energy, the calculation gives -4.7802 eV/atom. The calculation puts the theoretical density at 5.1 g/cm3. The value obtained for the density of states at the Fermi level is 0.926 states/eV per atom. The uncorrected formation energy comes out at -567 meV per atom. The calculation puts the magnetic moment at 0.33 μB per formula unit.

=====

(17)
# CePSe4

CePSe4 after structural relaxation (GGA-PBE, Alexandria).

Cell: 6.796 6.796 7.277 Å, 90.00 90.00 90.00°
Space group I-4 (No. 82)
Unique sites:
1 Ce 0.000 0.000 0.000 x2
2 P 0.000 0.500 0.750 x2
3 Se 0.149 0.247 0.606 x8

## Properties
For the raw total energy, the calculation gives -4.9112 eV/atom. The calculation puts the theoretical density at 4.8 g/cm3. The value obtained for the density of states at the Fermi level is 1.221 states/eV per atom. The uncorrected formation energy comes out at -698 meV per atom. The calculation puts the magnetic moment at 1.00 μB per formula unit.

=====

(18)
# Ce3P2Se

Ce3P2Se after structural relaxation (GGA-PBE, Alexandria).

Cell: 12.583 7.299 7.377 Å, 90.00 90.00 90.00°
Space group Cmcm (No. 63)
Unique sites:
1 Ce 0.000 0.114 0.250 x4
2 Ce 0.192 0.307 0.750 x8
3 P 0.167 0.000 0.000 x8
4 Se 0.000 0.497 0.250 x4

## Properties
For the raw total energy, the calculation gives -6.6363 eV/atom. The calculation puts the theoretical density at 5.5 g/cm3. The value obtained for the density of states at the Fermi level is 2.755 states/eV per atom. The uncorrected formation energy comes out at -1285 meV per atom. The calculation puts the magnetic moment at 3.79 μB per formula unit.

=====

(19)
# Ce2PSe

Ce2PSe after structural relaxation (GGA-PBE, Alexandria).

Cell: 4.0520 4.0520 21.7286 Å, 90.00 90.00 120.00°
Space group R3m (No. 160, hexagonal axes)
Unique sites:
1 Ce 0.0000 0.0000 0.0000 x3
2 Ce 0.0000 0.0000 0.1831 x3
3 P 0.0000 0.0000 0.5903 x3
4 Se 0.0000 0.0000 0.7600 x3

## Properties
For the raw total energy, the calculation gives -6.7873 eV/atom. The calculation puts the theoretical density at 6.3 g/cm3. The value obtained for the density of states at the Fermi level is 2.818 states/eV per atom. The uncorrected formation energy comes out at -1597 meV per atom. The calculation puts the magnetic moment at 1.79 μB per formula unit.

=====

(20)
# Ce8P4Se3

Ce8P4Se3 after structural relaxation (GGA-PBE, Alexandria).

Cell: 11.659 11.673 8.240 Å, 90.00 134.86 90.00°
Space group C2/m (No. 12)
Unique sites:
1 Ce 0.000 0.245 0.000 x4
2 Ce 0.000 0.245 0.500 x4
3 Ce 0.238 0.000 0.488 x4
4 Ce 0.242 0.000 0.990 x4
5 P 0.000 0.000 0.000 x2
6 P 0.000 0.000 0.500 x2
7 P 0.250 0.250 0.000 x4
8 Se 0.000 0.500 0.500 x2
9 Se 0.250 0.250 0.500 x4

## Properties
For the raw total energy, the calculation gives -6.7902 eV/atom. The calculation puts the theoretical density at 6.2 g/cm3. The value obtained for the density of states at the Fermi level is 2.974 states/eV per atom. The uncorrected formation energy comes out at -1486 meV per atom. The calculation puts the magnetic moment at 6.54 μB per formula unit.